First-principles (PBE) data for an optimized crystal structure of Pa2TlH, as listed in Alexandria.

abc: 8.988 8.988 8.988
angles: 20.91 20.91 20.91
Positions (direct):
Pa 0.225 0.225 0.225
Pa 0.775 0.775 0.775
Tl 0.000 0.000 0.000
H 0.500 0.500 0.500

Computed properties:
V ... 81.0 Å³/cell
Magnetic moment ... 0.00 μB/f.u.
Fermi-level density of states ... 5.42 states/eV per cell
VASP energy ... -6.21 eV per atom
Space-group type ... R-3m